Entry 1:
CaScTe2: relaxed, PBE.

Geometry as CIF:
```
data_CaScTe2
_cell_length_a 7.6153
_cell_length_b 7.6153
_cell_length_c 7.6153
_cell_angle_alpha 90.00
_cell_angle_beta 90.00
_cell_angle_gamma 90.00
_space_group_name_H-M_alt 'F -4 3 m'
_space_group_IT_number 216
_space_group_name_Hall 'F -4 2 3'
loop_
_atom_site_label
_atom_site_fract_x
_atom_site_fract_y
_atom_site_fract_z
Ca1 0.0000 0.0000 0.0000
Sc1 0.2500 0.2500 0.2500
Te1 0.0000 0.0000 0.5000
Te2 0.2500 0.2500 0.7500
```

Output
- Formation energy without anion corrections: -0.3387 eV per atom
- Total magnetic moment: 0.8 μB per formula unit
- Fermi-level density of states: 1.174 states/eV per atom
- Relative energy among the computed polymorphs: 23.329 kcal/mol of atoms

---

Entry 2:
La2CeHg6: relaxed, PBE.

Geometry as CIF:
```
data_La2CeHg6
_cell_length_a 8.8589
_cell_length_b 8.8589
_cell_length_c 3.4921
_cell_angle_alpha 90.00
_cell_angle_beta 90.00
_cell_angle_gamma 120.00
_space_group_name_H-M_alt 'P 6/m m m'
_space_group_IT_number 191
_space_group_name_Hall '-P 6 2'
loop_
_atom_site_label
_atom_site_fract_x
_atom_site_fract_y
_atom_site_fract_z
La1 0.3333 0.6667 0.0000
Ce1 0.0000 0.0000 0.0000
Hg1 0.0000 0.3321 0.5000
```

Output
- Formation enthalpy at 0 K: -0.44 eV/atom
- Total magnetic moment: 1.9 μB per formula unit
- Fermi-level density of states: 1.194 states/eV per atom

---

Entry 3:
HfZrPa: relaxed, PBE.

Geometry as CIF:
```
data_HfZrPa
_cell_length_a 5.1135
_cell_length_b 5.1135
_cell_length_c 3.0932
_cell_angle_alpha 90.00
_cell_angle_beta 90.00
_cell_angle_gamma 120.00
_space_group_name_H-M_alt 'P -6 m 2'
_space_group_IT_number 187
_space_group_name_Hall 'P -6 2'
loop_
_atom_site_label
_atom_site_fract_x
_atom_site_fract_y
_atom_site_fract_z
Hf1 0.0000 0.0000 0.0000
Zr1 0.6667 0.3333 0.5000
Pa1 0.3333 0.6667 0.0000
```

Output
- Formation enthalpy at 0 K: 0.11 eV/atom
- Total magnetic moment: 0.0 μB per formula unit
- Fermi-level density of states: 1.636 states/eV per atom
- Relative energy among the computed polymorphs: 1.826 kcal/mol of atoms

---

Entry 4:
Ga4PtAu12: relaxed, PBE.

Geometry as CIF:
```
data_Ga4PtAu12
_cell_length_a 8.8863
_cell_length_b 8.8863
_cell_length_c 8.8863
_cell_angle_alpha 90.00
_cell_angle_beta 90.00
_cell_angle_gamma 90.00
_space_group_name_H-M_alt 'I m -3'
_space_group_IT_number 204
_space_group_name_Hall '-I 2 2 3'
loop_
_atom_site_label
_atom_site_fract_x
_atom_site_fract_y
_atom_site_fract_z
Ga1 0.2500 0.2500 0.2500
Pt1 0.0000 0.0000 0.0000
Au1 0.0000 0.3428 0.1541
```

Output
- Formation enthalpy at 0 K: 0.21 eV/atom
- Total magnetic moment: 0.0 μB per formula unit
- Fermi-level density of states: 0.473 states/eV per atom